No. 1
First-principles (PBE-GGA) data for an optimized crystal structure of BTeCl3, as listed in Alexandria.

Values from the calculation:
- Symmetry: No. 221

a = 4.5659 Å, b = 4.5659 Å, c = 4.5659 Å
α = 90.00°, β = 90.00°, γ = 90.00°
Closest atoms and distances in Å follow each position.
Fractional positions:
Cl (0.0000, 0.0000, 0.5000)  2 B 2.28
Cl (0.0000, 0.5000, 0.0000)  2 B 2.28
Cl (0.5000, 0.0000, 0.0000)  2 B 2.28
Te (0.5000, 0.5000, 0.5000)  12 Cl 3.23
B (0.0000, 0.0000, 0.0000)  6 Cl 2.28

No. 2
First-principles (PBE-GGA) data for an optimized crystal structure of BTe2Cl, as listed in Alexandria.

Values from the calculation:
- Symmetry: No. 122

a = 6.8457 Å, b = 6.8457 Å, c = 6.5215 Å
α = 58.34°, β = 58.34°, γ = 90.00°
Closest atoms and distances in Å follow each position.
Fractional positions:
Te (0.5322, 0.1250, 0.2500)  2 B 2.30
Te (0.2178, 0.6250, 0.2500)  2 B 2.30
Te (0.8750, 0.7822, 0.7500)  2 B 2.30
Te (0.3750, 0.4678, 0.7500)  2 B 2.30
B (0.2500, 0.7500, 0.5000)  4 Te 2.30
B (0.5000, 0.5000, 0.0000)  4 Te 2.30
Cl (0.0000, 0.0000, 0.0000)  4 Te 3.10
Cl (0.7500, 0.2500, 0.5000)  4 Te 3.10

No. 3
First-principles (PBE-GGA) data for an optimized crystal structure of B3TeCl, as listed in Alexandria.

Values from the calculation:
- Symmetry: No. 221

a = 4.1404 Å, b = 4.1404 Å, c = 4.1404 Å
α = 90.00°, β = 90.00°, γ = 90.00°
Closest atoms and distances in Å follow each position.
Fractional positions:
B (0.5000, 0.0000, 0.0000)  2 Cl 2.07
B (0.0000, 0.0000, 0.5000)  2 Cl 2.07
B (0.0000, 0.5000, 0.0000)  2 Cl 2.07
Cl (0.0000, 0.0000, 0.0000)  6 B 2.07
Te (0.5000, 0.5000, 0.5000)  12 B 2.93

No. 4
First-principles (PBE-GGA) data for an optimized crystal structure of BTe2Cl, as listed in Alexandria.

Values from the calculation:
- Symmetry: No. 166

a = 9.2490 Å, b = 9.2490 Å, c = 9.2490 Å
α = 23.84°, β = 23.84°, γ = 23.84°
Closest atoms and distances in Å follow each position.
Fractional positions:
B (0.0000, 0.0000, 0.0000)  2 Te 2.05
Cl (0.5000, 0.5000, 0.5000)  6 Te 3.29
Te (0.9240, 0.9240, 0.9240)  1 B 2.05
Te (0.0760, 0.0760, 0.0760)  1 B 2.05

No. 5
First-principles (PBE-GGA) data for an optimized crystal structure of B3TeCl, as listed in Alexandria.

Values from the calculation:
- Symmetry: No. 221

a = 4.6442 Å, b = 4.6442 Å, c = 4.6442 Å
α = 90.00°, β = 90.00°, γ = 90.00°
Closest atoms and distances in Å follow each position.
Fractional positions:
B (0.0000, 0.0000, 0.5000)  2 Te 2.32
B (0.5000, 0.0000, 0.0000)  2 Te 2.32
B (0.0000, 0.5000, 0.0000)  2 Te 2.32
Te (0.0000, 0.0000, 0.0000)  6 B 2.32
Cl (0.5000, 0.5000, 0.5000)  12 B 3.28

No. 6
First-principles (PBE-GGA) data for an optimized crystal structure of B2TeCl, as listed in Alexandria.

Values from the calculation:
- Symmetry: No. 122

a = 6.0999 Å, b = 6.0999 Å, c = 5.8275 Å
α = 58.44°, β = 58.44°, γ = 90.00°
Closest atoms and distances in Å follow each position.
Fractional positions:
B (0.3750, 0.3678, 0.7500)  2 Te 2.34, 2 Cl 2.40
B (0.8750, 0.8822, 0.7500)  2 Te 2.34, 2 Cl 2.40
B (0.1178, 0.6250, 0.2500)  2 Te 2.34, 2 Cl 2.40
B (0.6322, 0.1250, 0.2500)  2 Te 2.34, 2 Cl 2.40
Cl (0.2500, 0.7500, 0.5000)  4 B 2.40
Cl (0.5000, 0.5000, 0.0000)  4 B 2.40
Te (0.7500, 0.2500, 0.5000)  4 B 2.34
Te (0.0000, 0.0000, 0.0000)  4 B 2.34

No. 7
First-principles (PBE-GGA) data for an optimized crystal structure of BTe3Cl, as listed in Alexandria.

Values from the calculation:
- Symmetry: No. 221

a = 4.9237 Å, b = 4.9237 Å, c = 4.9237 Å
α = 90.00°, β = 90.00°, γ = 90.00°
Closest atoms and distances in Å follow each position.
Fractional positions:
Te (0.0000, 0.0000, 0.5000)  2 B 2.46
Te (0.0000, 0.5000, 0.0000)  2 B 2.46
Te (0.5000, 0.0000, 0.0000)  2 B 2.46
B (0.0000, 0.0000, 0.0000)  6 Te 2.46
Cl (0.5000, 0.5000, 0.5000)  12 Te 3.48

No. 8
First-principles (PBE-GGA) data for an optimized crystal structure of BTe2Cl, as listed in Alexandria.

Values from the calculation:
- Symmetry: No. 225

a = 4.8724 Å, b = 4.8724 Å, c = 4.8724 Å
α = 60.00°, β = 60.00°, γ = 60.00°
Closest atoms and distances in Å follow each position.
Fractional positions:
Cl (0.5000, 0.5000, 0.5000)  8 Te 2.98
B (0.0000, 0.0000, 0.0000)  8 Te 2.98
Te (0.2500, 0.2500, 0.2500)  4 Cl 2.98, 4 B 2.98
Te (0.7500, 0.7500, 0.7500)  4 Cl 2.98, 4 B 2.98

No. 9
First-principles (PBE-GGA) data for an optimized crystal structure of BTeCl3, as listed in Alexandria.

Values from the calculation:
- Symmetry: No. 221

a = 5.4046 Å, b = 5.4046 Å, c = 5.4046 Å
α = 90.00°, β = 90.00°, γ = 90.00°
Closest atoms and distances in Å follow each position.
Fractional positions:
B (0.5000, 0.5000, 0.5000)  12 Cl 3.82
Cl (0.5000, 0.0000, 0.0000)  2 Te 2.70
Cl (0.0000, 0.0000, 0.5000)  2 Te 2.70
Cl (0.0000, 0.5000, 0.0000)  2 Te 2.70
Te (0.0000, 0.0000, 0.0000)  6 Cl 2.70

No. 10
First-principles (PBE-GGA) data for an optimized crystal structure of BTe2Cl, as listed in Alexandria.

Values from the calculation:
- Symmetry: No. 166

a = 8.6192 Å, b = 8.6192 Å, c = 8.6192 Å
α = 24.00°, β = 24.00°, γ = 24.00°
Closest atoms and distances in Å follow each position.
Fractional positions:
B (0.5000, 0.5000, 0.5000)  6 Te 2.53
Cl (0.0000, 0.0000, 0.0000)  2 Te 2.73
Te (0.8911, 0.8911, 0.8911)  3 B 2.53, 1 Cl 2.73
Te (0.1089, 0.1089, 0.1089)  3 B 2.53, 1 Cl 2.73

No. 11
First-principles (PBE-GGA) data for an optimized crystal structure of B2TeCl8, as listed in Alexandria.

Values from the calculation:
- Symmetry: No. 12

a = 7.8516 Å, b = 6.8914 Å, c = 6.8914 Å
α = 80.60°, β = 88.08°, γ = 88.08°
Closest atoms and distances in Å follow each position.
Fractional positions:
Cl (0.1575, 0.3569, 0.3569)  1 B 1.80
Cl (0.8425, 0.6431, 0.6431)  1 B 1.80
Cl (0.2280, 0.2785, 0.9343)  1 B 1.97
Cl (0.7720, 0.7215, 0.0657)  1 B 1.97
Cl (0.5137, 0.2292, 0.2292)  1 B 1.78
Cl (0.7720, 0.0657, 0.7215)  1 B 1.97
Cl (0.2280, 0.9343, 0.2785)  1 B 1.97
Cl (0.4863, 0.7708, 0.7708)  1 B 1.78
Te (0.0000, 0.0000, 0.0000)  4 Cl 2.64
B (0.7116, 0.7875, 0.7875)  4 Cl 1.78-1.97
B (0.2884, 0.2125, 0.2125)  4 Cl 1.78-1.97

No. 12
First-principles (PBE-GGA) data for an optimized crystal structure of Th2BCl2, as listed in Alexandria.

Values from the calculation:
- Symmetry: No. 12

a = 3.9820 Å, b = 3.9819 Å, c = 10.9041 Å
α = 80.62°, β = 79.48°, γ = 60.00°
Closest atoms and distances in Å follow each position.
Fractional positions:
Cl (0.5523, 0.0855, 0.8099)  3 Th 2.95
Cl (0.4477, 0.9145, 0.1901)  3 Th 2.95
Th (0.2828, 0.7976, 0.6368)  3 B 2.72, 3 Cl 2.95
Th (0.7172, 0.2024, 0.3632)  3 B 2.72, 3 Cl 2.95
B (0.0000, 0.5000, 0.5000)  6 Th 2.72

Formation energy from raw total energies, record by record: 564 373 2228 532 2202 1407 647 1095 783 486 -717 -1270 meV/atom
VASP energy, record by record: -2.51 -3.33 -2.78 -3.17 -2.80 -3.18 -2.94 -2.61 -2.29 -3.22 -3.56 -6.31 eV/atom